DFT (PBE-GGA) results for a relaxed SrLiMgTl2 crystal.

Cell: 5.227 5.227 5.125 Å, 90.00 90.00 90.00°
Atoms (fractional coordinates):
Sr 0.000 0.000 0.000
Li 0.500 0.500 0.500
Mg 0.500 0.500 0.000
Tl 0.000 0.500 0.500
Tl 0.500 0.000 0.500

Calculated values
energy of formation from the pure elements = -108 meV per atom
uncorrected energy = -2.0921 eV/atom
Fermi-level density of states = 3.24 states/eV/cell
space-group type = P4/mmm

---

DFT (PBE-GGA) results for a relaxed SrLiMgTl3 crystal.

Cell: 7.766 7.766 7.200 Å, 90.00 90.00 125.54°
Atoms (fractional coordinates):
Sr 0.198 0.802 0.750
Sr 0.802 0.198 0.250
Li 0.438 0.562 0.750
Li 0.562 0.438 0.250
Mg 0.135 0.865 0.250
Mg 0.865 0.135 0.750
Tl 0.227 0.227 0.000
Tl 0.227 0.227 0.500
Tl 0.350 0.650 0.250
Tl 0.650 0.350 0.750
Tl 0.773 0.773 0.000
Tl 0.773 0.773 0.500

Calculated values
energy of formation from the pure elements = -118 meV per atom
uncorrected energy = -2.1666 eV/atom
Fermi-level density of states = 5.12 states/eV/cell
space-group type = Cmcm